# 1
NbAs3F (PBE-GGA, relaxed); space-group type = No. 221; formation energy (no corrections) = 0.0 eV per formula unit; relative energy among the computed polymorphs = 0.00 kcal/mol of atoms
1.0
-4.432 -0.598 2.119
1.773 -3.793 2.638
1.306 3.121 3.611
Nb As F
1 3 1
Cartesian
0.000 0.000 0.000
0.886 -1.897 1.319
0.653 1.561 1.806
-2.216 -0.299 1.059
-0.677 -0.635 4.184

***

# 2
LiCaEr2Hg4 (PBE-GGA, relaxed); space-group type = No. 166; energy of formation from the pure elements = -3.653 eV per formula unit
1.0
5.134 0.000 0.000
2.567 4.446 0.000
2.567 1.482 8.449
Li Ca Er Hg
1 1 2 4
Cartesian
5.134 2.964 4.225
0.000 0.000 0.000
7.701 4.446 6.257
2.567 1.482 2.193
5.134 2.964 7.273
7.701 4.446 3.215
2.567 1.482 5.235
5.134 2.964 1.177

***

# 3
SmErBiAs (PBE-GGA, relaxed); space-group type = No. 160; energy of formation from the pure elements = -4.677 eV per formula unit
1.0
4.289 0.000 0.000
2.145 3.715 0.000
2.145 1.238 7.164
Sm Er Bi As
1 1 1 1
Cartesian
6.434 3.715 0.170
4.289 2.476 3.412
6.434 3.715 5.317
2.145 1.238 1.847

***

# 4
Ce6Si2H (PBE-GGA, relaxed); space-group type = No. 71; relative energy among the computed polymorphs = 4.57 kcal/mol of atoms
1.0
-3.777 1.395 -2.017
-3.313 -0.787 5.661
5.046 6.383 -0.013
Ce Si H
6 2 1
Cartesian
-0.251 1.875 1.767
0.099 5.565 -1.370
-1.793 5.115 1.864
-2.581 0.533 0.174
-2.144 1.425 5.000
-4.510 0.074 3.470
-3.058 2.474 2.409
1.013 4.517 1.221
0.000 0.000 0.000

***

# 5
Zn2AsSe (PBE-GGA, relaxed); space-group type = No. 99; formation energy (no corrections) = 0.7 eV per formula unit
1.0
-1.806 -0.032 -2.182
-2.150 -0.462 1.786
-1.290 9.577 0.927
As Se Zn
1 1 2
Cartesian
-0.564 4.187 0.405
-3.008 7.400 0.542
-0.042 0.311 0.030
-2.277 1.974 0.017

***

# 6
ErAlIn (PBE-GGA, relaxed); space-group type = No. 156; energy of formation from the pure elements = -1.212 eV per formula unit
1.0
-3.229 1.008 0.785
0.128 -2.654 3.934
1.444 4.520 0.138
In Al Er
1 1 1
Cartesian
0.465 2.297 1.535
-0.535 0.167 0.130
-1.586 0.409 3.192

***

# 7
Sc2CoSi3 (PBE-GGA, relaxed); space-group type = No. 194; formation energy (no corrections) = -4.1 eV per formula unit; relative energy among the computed polymorphs = 0.37 kcal/mol of atoms
1.0
-4.429 -0.274 2.509
0.100 -0.573 -5.065
0.975 -7.648 0.885
Sc Si Co
4 6 2
Cartesian
-2.857 -0.866 0.042
-0.859 -4.790 -2.041
-0.497 -7.629 -1.712
-2.495 -3.705 0.370
-0.726 -5.922 0.656
-2.945 -6.060 1.913
-2.895 -6.347 -0.625
-2.629 -2.573 -2.327
-0.410 -2.435 -3.584
-0.460 -2.148 -1.046
0.000 0.000 0.000
0.488 -3.824 0.442

***

# 8
TbCePm2Er (PBE-GGA, relaxed); space-group type = No. 13; energy of formation from the pure elements = 1.420 eV per formula unit
1.0
8.139 0.000 0.000
0.000 6.572 1.190
0.000 -1.054 6.029
Tb Ce Pm Er
2 2 4 2
Cartesian
5.263 -0.263 1.507
2.876 -0.790 4.522
0.000 0.000 0.000
0.000 -0.527 3.015
5.609 4.046 5.412
5.609 0.945 4.822
2.530 4.573 2.397
2.530 1.472 1.807
1.025 2.496 5.117
7.115 3.023 2.102

***

# 9
NdSmPt2 (PBE-GGA, relaxed); space-group type = No. 160; energy of formation from the pure elements = -4.061 eV per formula unit; relative energy among the computed polymorphs = 3.62 kcal/mol of atoms
1.0
4.126 0.000 0.000
2.063 3.573 0.000
2.063 1.191 7.065
Nd Sm Pt
1 1 2
Cartesian
6.188 3.573 6.999
4.126 2.382 3.589
2.063 1.191 5.245
2.063 1.191 1.828

***

# 10
BaZn2P2 (PBE-GGA, relaxed); space-group type = No. 139; energy of formation from the pure elements = -3.220 eV per formula unit
1.0
4.043 0.000 0.000
0.000 4.043 0.000
2.022 2.022 6.638
P Zn Ba
2 2 1
Cartesian
2.022 2.022 1.859
4.043 4.043 4.778
4.043 2.022 3.319
2.022 4.043 3.319
0.000 0.000 0.000

***

| no. | Fermi-level density of states (states/eV per cell) | calculated total energy (eV per formula unit) |
| --- | --- | --- |
| 1 | 4.69 | -25.89 |
| 2 | 5.40 | -17.90 |
| 3 | 0.72 | -22.49 |
| 4 | 20.35 | -51.21 |
| 5 | 1.33 | -9.94 |
| 6 | 0.66 | -12.26 |
| 7 | 10.12 | -40.12 |
| 8 | 22.60 | -23.21 |
| 9 | 2.01 | -25.63 |
| 10 | 0.03 | -18.51 |